This record from OQMD via LeMat-Bulk describes RbTcS3 after structural relaxation. The functional is PBE.

Lattice parameters (Å, degrees): 6.099 7.286 7.444 115.01 93.81 91.94
Positions (direct):
Rb: 0.241 0.189 0.317
Rb: 0.759 0.811 0.683
Tc: 0.289 0.528 0.942
Tc: 0.711 0.472 0.058
S: 0.040 0.280 0.923
S: 0.258 0.651 0.718
S: 0.476 0.727 0.229
S: 0.524 0.273 0.771
S: 0.742 0.349 0.282
S: 0.960 0.720 0.077

The value obtained for the energy is -27.023 eV per formula unit. Its space-group type is No. 2. The calculation puts the spin magnetization at 0.00 Bohr magnetons per cell.